(1)
# Ac2SmMg2

An optimized crystal structure of Ac2SmMg2 (PBE-GGA, Alexandria via LeMat-Bulk). Values from VASP.

Structure (Quantum ESPRESSO input):
```
&SYSTEM
  ibrav = 0, nat = 5, ntyp = 3
/
ATOMIC_SPECIES
Ac 227.00 Ac.upf
Sm 150.36 Sm.upf
Mg 24.30 Mg.upf
CELL_PARAMETERS angstrom
2.010 -11.086 0.000
2.010 11.086 0.000
0.000 0.000 3.946
ATOMIC_POSITIONS crystal
Ac 0.176 0.824 0.000
Ac 0.824 0.176 0.000
Sm 0.000 0.000 0.000
Mg 0.422 0.578 0.500
Mg 0.578 0.422 0.500
```

Output
symmetry	No. 65
calculated formation energy	0.3	kcal/mol of atoms
D(E_F)	5.41	states/eV/f.u.

***

(2)
# Ac4SmMg

An optimized crystal structure of Ac4SmMg (PBE-GGA, Alexandria via LeMat-Bulk). Values from VASP.

Structure (Quantum ESPRESSO input):
```
&SYSTEM
  ibrav = 0, nat = 6, ntyp = 3
/
ATOMIC_SPECIES
Ac 227.00 Ac.upf
Sm 150.36 Sm.upf
Mg 24.30 Mg.upf
CELL_PARAMETERS angstrom
0.000 5.069 5.069
5.069 0.000 5.069
5.069 5.069 0.000
ATOMIC_POSITIONS crystal
Ac 0.125 0.125 0.125
Ac 0.125 0.125 0.625
Ac 0.125 0.625 0.125
Ac 0.625 0.125 0.125
Sm 0.500 0.500 0.500
Mg 0.750 0.750 0.750
```

Output
symmetry	No. 216
calculated formation energy	8.9	kcal/mol of atoms
D(E_F)	8.53	states/eV/f.u.

***

(3)
# AcSm2Mg

An optimized crystal structure of AcSm2Mg (PBE-GGA, Alexandria via LeMat-Bulk). Values from VASP.

Structure (Quantum ESPRESSO input):
```
&SYSTEM
  ibrav = 0, nat = 4, ntyp = 3
/
ATOMIC_SPECIES
Ac 227.00 Ac.upf
Sm 150.36 Sm.upf
Mg 24.30 Mg.upf
CELL_PARAMETERS angstrom
1.864 1.076 11.540
-1.864 1.076 11.540
0.000 -2.152 11.540
ATOMIC_POSITIONS crystal
Ac 0.000 0.000 0.000
Sm 0.575 0.575 0.575
Sm 0.758 0.758 0.758
Mg 0.166 0.166 0.166
```

Output
symmetry	No. 160
calculated formation energy	1.7	kcal/mol of atoms
D(E_F)	4.67	states/eV/f.u.

***

(4)
# Ac2SmMg

An optimized crystal structure of Ac2SmMg (PBE-GGA, Alexandria via LeMat-Bulk). Values from VASP.

Structure (Quantum ESPRESSO input):
```
&SYSTEM
  ibrav = 0, nat = 4, ntyp = 3
/
ATOMIC_SPECIES
Ac 227.00 Ac.upf
Sm 150.36 Sm.upf
Mg 24.30 Mg.upf
CELL_PARAMETERS angstrom
1.883 1.087 13.136
-1.883 1.087 13.136
0.000 -2.174 13.136
ATOMIC_POSITIONS crystal
Ac 0.089 0.089 0.089
Ac 0.911 0.911 0.911
Sm 0.500 0.500 0.500
Mg 0.000 0.000 0.000
```

Output
symmetry	No. 166
calculated formation energy	5.7	kcal/mol of atoms
D(E_F)	4.68	states/eV/f.u.

***

(5)
# AcSmMgSn

An optimized crystal structure of AcSmMgSn (PBE-GGA, Alexandria via LeMat-Bulk). Values from VASP.

Structure (Quantum ESPRESSO input):
```
&SYSTEM
  ibrav = 0, nat = 4, ntyp = 4
/
ATOMIC_SPECIES
Ac 227.00 Ac.upf
Sm 150.36 Sm.upf
Mg 24.30 Mg.upf
Sn 118.71 Sn.upf
CELL_PARAMETERS angstrom
0.000 3.956 3.956
3.956 0.000 3.956
3.956 3.956 0.000
ATOMIC_POSITIONS crystal
Ac 0.000 0.000 0.000
Sm 0.500 0.500 0.500
Mg 0.250 0.250 0.250
Sn 0.750 0.750 0.750
```

Output
symmetry	No. 216
calculated formation energy	-8.4	kcal/mol of atoms
D(E_F)	3.87	states/eV/f.u.

***

(6)
# AcTbSmMg

An optimized crystal structure of AcTbSmMg (PBE-GGA, Alexandria via LeMat-Bulk). Values from VASP.

Structure (Quantum ESPRESSO input):
```
&SYSTEM
  ibrav = 0, nat = 4, ntyp = 4
/
ATOMIC_SPECIES
Ac 227.00 Ac.upf
Tb 158.93 Tb.upf
Sm 150.36 Sm.upf
Mg 24.30 Mg.upf
CELL_PARAMETERS angstrom
0.000 4.056 4.056
4.056 0.000 4.056
4.056 4.056 0.000
ATOMIC_POSITIONS crystal
Ac 0.000 0.000 0.000
Tb 0.250 0.250 0.250
Sm 0.750 0.750 0.750
Mg 0.500 0.500 0.500
```

Output
symmetry	No. 216
calculated formation energy	2.8	kcal/mol of atoms
D(E_F)	6.37	states/eV/f.u.

***

(7)
# AcTbSmMg

An optimized crystal structure of AcTbSmMg (PBE-GGA, Alexandria via LeMat-Bulk). Values from VASP.

Structure (Quantum ESPRESSO input):
```
&SYSTEM
  ibrav = 0, nat = 4, ntyp = 4
/
ATOMIC_SPECIES
Ac 227.00 Ac.upf
Tb 158.93 Tb.upf
Sm 150.36 Sm.upf
Mg 24.30 Mg.upf
CELL_PARAMETERS angstrom
3.831 0.000 0.000
0.000 3.831 0.000
0.000 0.000 9.032
ATOMIC_POSITIONS crystal
Ac 0.000 0.000 0.000
Tb 0.500 0.500 0.287
Sm 0.500 0.500 0.708
Mg 0.000 0.000 0.493
```

Output
symmetry	No. 99
calculated formation energy	-0.4	kcal/mol of atoms
D(E_F)	4.95	states/eV/f.u.

***

(8)
# Ac3Sm3MgTe8

An optimized crystal structure of Ac3Sm3MgTe8 (PBE-GGA, Alexandria via LeMat-Bulk). Values from VASP.

Structure (Quantum ESPRESSO input):
```
&SYSTEM
  ibrav = 0, nat = 15, ntyp = 4
/
ATOMIC_SPECIES
Ac 227.00 Ac.upf
Sm 150.36 Sm.upf
Mg 24.30 Mg.upf
Te 127.60 Te.upf
CELL_PARAMETERS angstrom
4.530 2.615 7.573
-4.530 2.615 7.573
0.000 -5.230 7.573
ATOMIC_POSITIONS crystal
Ac 0.000 0.500 0.500
Ac 0.500 0.000 0.500
Ac 0.500 0.500 0.000
Sm 0.000 0.000 0.500
Sm 0.000 0.500 0.000
Sm 0.500 0.000 0.000
Mg 0.500 0.500 0.500
Te 0.244 0.244 0.244
Te 0.250 0.739 0.739
Te 0.261 0.261 0.750
Te 0.261 0.750 0.261
Te 0.739 0.250 0.739
Te 0.739 0.739 0.250
Te 0.750 0.261 0.261
Te 0.756 0.756 0.756
```

Output
symmetry	No. 166
energy relative to the elements, uncorrected	-1.378	eV per atom
D(E_F)	3.43	states/eV/f.u.

***

DFT total energy across the listed records, respectively: -16.059, -20.423, -14.843, -13.535, -15.883, -14.562, -15.123, -73.883 eV/f.u..